Density functional theory data (GGA-PBE) for a geometry-optimized Tb2Dy3YTm6 structure.

Its density of states at the Fermi level is 1.39 states/eV per atom. The value obtained for the total energy is -4.674 eV per atom. Its total moment is 0.00 Bohr magnetons per cell. The formation energy is 0.02 eV/atom.

It has space group C2/m (No. 12), with a = 6.102 Å, b = 10.557 Å, c = 11.648 Å, α = 90.00°, β = 100.02° and γ = 90.00°. Symmetry generates all atoms from Tb at (0.000, 0.167, 0.000), Dy at (0.000, 0.000, 0.500), Dy at (0.000, 0.333, 0.500), Y at (0.000, 0.500, 0.000), Tm at (0.249, 0.167, 0.749) and Tm at (0.250, 0.000, 0.251).